Record 1
Compound: TaTlAg2
Source: the Alexandria database
Functional: PBE-GGA
Structure: optimized geometry

Structure (POSCAR):
```
TaTlAg2
1.0
-4.087 -0.204 0.511
0.526 -2.571 3.182
0.178 3.560 2.847
Tl Ag Ta
1 2 1
Cartesian
0.352 0.494 3.014 Tl
0.000 0.000 0.000 Ag
-1.781 -1.387 1.846 Ag
-1.955 1.678 1.679 Ta
```

size of the total moment	0.00	μB per formula unit
formation energy from the elements	0.5025	eV/atom
SG	P4/mmm

Record 2
Compound: TaTlAg2
Source: the Alexandria database
Functional: PBE-GGA
Structure: optimized geometry

Structure (POSCAR):
```
TaTlAg2
1.0
2.980 0.505 0.000
-0.505 2.980 0.000
0.000 0.000 8.517
Tl Ag Ta
1 2 1
Cartesian
1.237 1.742 6.377 Tl
0.000 0.000 0.147 Ag
1.237 1.742 2.142 Ag
0.000 0.000 4.109 Ta
```

size of the total moment	0.00	μB per formula unit
formation energy from the elements	0.3556	eV/atom
SG	P4mm

Record 3
Compound: TaTl2Ag
Source: the Alexandria database
Functional: PBE-GGA
Structure: optimized geometry

Structure (POSCAR):
```
TaTl2Ag
1.0
-0.375 -9.743 2.451
2.766 -9.416 2.185
1.320 -8.676 4.906
Tl Ag Ta
2 1 1
Cartesian
3.710 -27.827 9.540 Tl
1.856 -13.925 4.774 Tl
0.928 -6.959 2.386 Ag
2.783 -20.876 7.157 Ta
```

size of the total moment	0.00	μB per formula unit
formation energy from the elements	0.4642	eV/atom
polymorph energy (0 for the lowest one)	22	meV per atom
SG	R-3m

Record 4
Compound: TaTlAg2
Source: the Alexandria database
Functional: PBE-GGA
Structure: optimized geometry

Structure (POSCAR):
```
TaTlAg2
1.0
-1.796 -4.544 -0.217
2.354 -1.001 1.483
-2.318 0.683 4.858
Tl Ag Ta
1 2 1
Cartesian
-0.870 -2.511 4.648 Tl
2.220 -0.949 1.505 Ag
0.152 -0.211 3.150 Ag
-0.889 -2.352 1.477 Ta
```

size of the total moment	0.00	μB per formula unit
formation energy from the elements	0.4469	eV/atom
SG	P2/m